! MgReIr, single point on PBEsol structure, DFT meta-GGA SCAN; values from VASP
&SYSTEM
  ibrav = 0, nat = 3, ntyp = 3
/
ATOMIC_SPECIES
Ir 192.22 Ir.upf
Re 186.21 Re.upf
Mg 24.30 Mg.upf
CELL_PARAMETERS angstrom
2.8044 0.0000 0.0000
0.0000 2.8044 0.0000
-1.4022 -1.4022 5.8089
ATOMIC_POSITIONS crystal
Ir 0.0086 0.0086 0.0171
Re 0.6543 0.6543 0.3085
Mg 0.3372 0.3372 0.6744
! **ΔH_f (0 K)**: -0.138 eV per atom
! **DOS(E_F)**: 2.07 states/eV/f.u.

=====

! ReSi3Rh, single point on PBEsol structure, DFT meta-GGA SCAN; values from VASP
&SYSTEM
  ibrav = 0, nat = 5, ntyp = 3
/
ATOMIC_SPECIES
Si 28.09 Si.upf
Rh 102.91 Rh.upf
Re 186.21 Re.upf
CELL_PARAMETERS angstrom
4.4549 0.0000 0.0000
0.0000 4.4549 0.0000
0.0000 0.0000 4.4549
ATOMIC_POSITIONS crystal
Si 0.0000 0.0000 0.5000
Si 0.5000 0.0000 0.0000
Si 0.0000 0.5000 0.0000
Rh 0.0000 0.0000 0.0000
Re 0.5000 0.5000 0.5000
! **ΔE_f (raw)**: 1.2574 eV per atom
! **DOS(E_F)**: 3.80 states/eV/f.u.

=====

! AlW2Cl, single point on PBEsol structure, DFT meta-GGA SCAN; values from VASP
&SYSTEM
  ibrav = 0, nat = 4, ntyp = 3
/
ATOMIC_SPECIES
W 183.84 W.upf
Al 26.98 Al.upf
Cl 35.45 Cl.upf
CELL_PARAMETERS angstrom
-1.8142 -1.0759 -1.8987
0.2933 -2.6815 -0.8817
-5.6889 -3.9499 5.5532
ATOMIC_POSITIONS crystal
W 0.2523 0.2523 0.2430
W 0.7477 0.7477 0.7570
Al 0.5000 0.5000 0.5000
Cl 0.0000 0.0000 0.0000
! **ΔE_f (raw)**: 0.4785 eV per atom
! **DOS(E_F)**: 2.29 states/eV/f.u.
! **Offset from the most stable computed form**: 0 meV per atom

=====

! BaSbPt2, single point on PBEsol structure, DFT meta-GGA SCAN; values from VASP
&SYSTEM
  ibrav = 0, nat = 4, ntyp = 3
/
ATOMIC_SPECIES
Pt 195.08 Pt.upf
Ba 137.33 Ba.upf
Sb 121.76 Sb.upf
CELL_PARAMETERS angstrom
-4.0427 0.5474 2.0414
-3.3392 -3.0272 -0.7041
-0.6659 -3.8198 4.8027
ATOMIC_POSITIONS crystal
Pt 0.1986 0.1986 0.4042
Pt 0.8014 0.8014 0.5958
Ba 0.0000 0.0000 0.0000
Sb 0.5000 0.5000 0.5000
! **ΔE_f (raw)**: -0.8117 eV per atom
! **DOS(E_F)**: 1.68 states/eV/f.u.

=====

! Na2CaGe2, single point on PBEsol structure, DFT meta-GGA SCAN; values from VASP
&SYSTEM
  ibrav = 0, nat = 5, ntyp = 3
/
ATOMIC_SPECIES
Ca 40.08 Ca.upf
Ge 72.64 Ge.upf
Na 22.99 Na.upf
CELL_PARAMETERS angstrom
-2.9767 2.2362 2.1775
-2.9687 -1.0992 -2.9294
1.5124 -5.9019 3.8570
ATOMIC_POSITIONS crystal
Ca 0.0000 0.0000 0.0000
Ge 0.5897 0.5897 0.1794
Ge 0.4103 0.4103 0.8206
Na 0.7500 0.2500 0.5000
Na 0.2500 0.7500 0.5000
! **ΔH_f (0 K)**: -0.287 eV per atom
! **DOS(E_F)**: 1.46 states/eV/f.u.

=====

! ZnFeHg3, single point on PBEsol structure, DFT meta-GGA SCAN; values from VASP
&SYSTEM
  ibrav = 0, nat = 5, ntyp = 3
/
ATOMIC_SPECIES
Fe 55.84 Fe.upf
Zn 65.41 Zn.upf
Hg 200.59 Hg.upf
CELL_PARAMETERS angstrom
-3.2232 -3.2694 -1.9836
-0.2201 -2.4313 4.3649
-3.8177 2.9004 1.4231
ATOMIC_POSITIONS crystal
Fe 0.0000 0.0000 0.0000
Zn 0.5000 0.5000 0.5000
Hg 0.0000 0.5000 0.0000
Hg 0.5000 0.0000 0.0000
Hg 0.0000 0.0000 0.5000
! **ΔH_f (0 K)**: 0.487 eV per atom
! **DOS(E_F)**: 1.97 states/eV/f.u.

=====

! Tl2CoSe, single point on PBEsol structure, DFT meta-GGA SCAN; values from VASP
&SYSTEM
  ibrav = 0, nat = 4, ntyp = 3
/
ATOMIC_SPECIES
Tl 204.38 Tl.upf
Se 78.96 Se.upf
Co 58.93 Co.upf
CELL_PARAMETERS angstrom
-3.2711 1.3175 0.5015
-0.8795 -0.9169 -3.3276
-1.9878 -5.7370 2.1061
ATOMIC_POSITIONS crystal
Tl 0.0000 0.0000 0.2328
Tl 0.0000 0.0000 0.7672
Se 0.5000 0.5000 0.5000
Co 0.5000 0.5000 0.0000
! **ΔE_f (raw)**: 0.4052 eV per atom
! **DOS(E_F)**: 1.94 states/eV/f.u.

=====

! LaCoIrS2, single point on PBEsol structure, DFT meta-GGA SCAN; values from VASP
&SYSTEM
  ibrav = 0, nat = 5, ntyp = 4
/
ATOMIC_SPECIES
S 32.06 S.upf
Ir 192.22 Ir.upf
La 138.91 La.upf
Co 58.93 Co.upf
CELL_PARAMETERS angstrom
-0.4130 -3.4772 2.9763
4.2798 0.7660 1.4888
-1.8750 3.3575 3.6624
ATOMIC_POSITIONS crystal
S 0.0000 0.5000 0.0000
S 0.5000 0.0000 0.0000
Ir 0.0000 0.0000 0.0000
La 0.0000 0.0000 0.5000
Co 0.5000 0.5000 0.5000
! **ΔE_f (raw)**: 0.2094 eV per atom
! **DOS(E_F)**: 4.67 states/eV/f.u.

=====

! CaMgSb2, single point on PBEsol structure, DFT meta-GGA SCAN; values from VASP
&SYSTEM
  ibrav = 0, nat = 4, ntyp = 3
/
ATOMIC_SPECIES
Sb 121.76 Sb.upf
Ca 40.08 Ca.upf
Mg 24.30 Mg.upf
CELL_PARAMETERS angstrom
-4.9924 -1.0349 -1.4396
-1.0091 -3.8888 -3.4536
-2.3607 -4.4510 1.6381
ATOMIC_POSITIONS crystal
Sb 0.7500 0.7500 0.7500
Sb 0.0000 0.0000 0.0000
Ca 0.5000 0.5000 0.5000
Mg 0.2500 0.2500 0.2500
! **ΔE_f (raw)**: -0.1962 eV per atom
! **DOS(E_F)**: 2.52 states/eV/f.u.

=====

! LiNiCl4, single point on PBEsol structure, DFT meta-GGA SCAN; values from VASP
&SYSTEM
  ibrav = 0, nat = 6, ntyp = 3
/
ATOMIC_SPECIES
Cl 35.45 Cl.upf
Ni 58.69 Ni.upf
Li 6.94 Li.upf
CELL_PARAMETERS angstrom
5.7495 0.0000 0.0000
2.8748 4.9793 0.0000
2.8748 1.6598 4.6945
ATOMIC_POSITIONS crystal
Cl 0.3745 0.3745 0.3745
Cl 0.3745 0.8764 0.3745
Cl 0.3745 0.3745 0.8764
Cl 0.8764 0.3745 0.3745
Ni 0.0000 0.0000 0.0000
Li 0.7500 0.7500 0.7500
! **ΔE_f (raw)**: 0.3995 eV per atom
! **DOS(E_F)**: 6.10 states/eV/f.u.

=====

! ScInCl2, single point on PBEsol structure, DFT meta-GGA SCAN; values from VASP
&SYSTEM
  ibrav = 0, nat = 4, ntyp = 3
/
ATOMIC_SPECIES
Cl 35.45 Cl.upf
Sc 44.96 Sc.upf
In 114.82 In.upf
CELL_PARAMETERS angstrom
-0.7304 4.9386 -0.4574
-3.6637 2.2421 2.5852
1.1292 3.0638 3.8040
ATOMIC_POSITIONS crystal
Cl 0.7500 0.7500 0.7500
Cl 0.0000 0.0000 0.0000
Sc 0.2500 0.2500 0.2500
In 0.5000 0.5000 0.5000
! **ΔE_f (raw)**: -0.5278 eV per atom
! **DOS(E_F)**: 3.82 states/eV/f.u.
! **Offset from the most stable computed form**: 779 meV per atom

=====

! Ca2InPt, single point on PBEsol structure, DFT meta-GGA SCAN; values from VASP
&SYSTEM
  ibrav = 0, nat = 4, ntyp = 3
/
ATOMIC_SPECIES
Pt 195.08 Pt.upf
Ca 40.08 Ca.upf
In 114.82 In.upf
CELL_PARAMETERS angstrom
3.5294 0.0000 0.0000
0.0000 3.5294 0.0000
0.0000 0.0000 7.6018
ATOMIC_POSITIONS crystal
Pt 0.5000 0.5000 0.0000
Ca 0.0000 0.0000 0.2159
Ca 0.0000 0.0000 0.7841
In 0.5000 0.5000 0.5000
! **ΔH_f (0 K)**: -0.801 eV per atom
! **DOS(E_F)**: 1.53 states/eV/f.u.

=====

! La2InCl, single point on PBEsol structure, DFT meta-GGA SCAN; values from VASP
&SYSTEM
  ibrav = 0, nat = 4, ntyp = 3
/
ATOMIC_SPECIES
La 138.91 La.upf
Cl 35.45 Cl.upf
In 114.82 In.upf
CELL_PARAMETERS angstrom
3.3205 0.0000 0.0000
0.0000 5.6911 0.0000
0.0000 0.0000 5.6911
ATOMIC_POSITIONS crystal
La 0.0000 0.5000 0.0000
La 0.0000 0.0000 0.5000
Cl 0.5000 0.5000 0.5000
In 0.5000 0.0000 0.0000
! **ΔE_f (raw)**: -1.0933 eV per atom
! **DOS(E_F)**: 2.38 states/eV/f.u.
! **Offset from the most stable computed form**: 101 meV per atom

=====

! La5CuBi3, single point on PBEsol structure, DFT meta-GGA SCAN; values from VASP
&SYSTEM
  ibrav = 0, nat = 18, ntyp = 3
/
ATOMIC_SPECIES
Cu 63.55 Cu.upf
Bi 208.98 Bi.upf
La 138.91 La.upf
CELL_PARAMETERS angstrom
6.6094 0.0000 0.0000
0.0000 9.7088 0.0000
0.0000 -4.8544 8.4081
ATOMIC_POSITIONS crystal
Cu 0.0000 0.0000 0.0000
Cu 0.5000 0.0000 0.0000
Bi 0.7500 0.0000 0.3831
Bi 0.2500 0.3831 0.3831
Bi 0.7500 0.6169 0.6169
Bi 0.2500 0.6169 0.0000
Bi 0.2500 0.0000 0.6169
Bi 0.7500 0.3831 0.0000
La 0.5000 0.3333 0.6667
La 0.5000 0.6667 0.3333
La 0.7500 0.0000 0.7415
La 0.2500 0.7415 0.7415
La 0.7500 0.2585 0.2585
La 0.7500 0.7415 0.0000
La 0.2500 0.0000 0.2585
La 0.0000 0.3333 0.6667
La 0.2500 0.2585 0.0000
La 0.0000 0.6667 0.3333
! **ΔH_f (0 K)**: -0.880 eV per atom
! **DOS(E_F)**: 8.24 states/eV/f.u.

=====

! Mn2MoIr, single point on PBEsol structure, DFT meta-GGA SCAN; values from VASP
&SYSTEM
  ibrav = 0, nat = 4, ntyp = 3
/
ATOMIC_SPECIES
Mo 95.94 Mo.upf
Mn 54.94 Mn.upf
Ir 192.22 Ir.upf
CELL_PARAMETERS angstrom
2.6029 0.0000 0.0000
0.0000 2.6029 0.0000
0.0000 0.0000 7.6125
ATOMIC_POSITIONS crystal
Mo 0.5000 0.5000 0.0000
Mn 0.0000 0.0000 0.7354
Mn 0.0000 0.0000 0.2646
Ir 0.5000 0.5000 0.5000
! **ΔH_f (0 K)**: -0.049 eV per atom
! **DOS(E_F)**: 3.85 states/eV/f.u.

=====

! CuAsOs, single point on PBEsol structure, DFT meta-GGA SCAN; values from VASP
&SYSTEM
  ibrav = 0, nat = 3, ntyp = 3
/
ATOMIC_SPECIES
As 74.92 As.upf
Os 190.23 Os.upf
Cu 63.55 Cu.upf
CELL_PARAMETERS angstrom
-2.3123 1.9095 0.0271
-1.0233 -1.1859 -3.7628
-1.5539 -1.9277 3.2376
ATOMIC_POSITIONS crystal
As 0.1671 0.0000 0.0000
Os 0.1663 0.6667 0.3333
Cu 0.6665 0.3333 0.6667
! **ΔH_f (0 K)**: 0.321 eV per atom
! **DOS(E_F)**: 1.26 states/eV/f.u.

=====

! CaTe2Se, single point on PBEsol structure, DFT meta-GGA SCAN; values from VASP
&SYSTEM
  ibrav = 0, nat = 4, ntyp = 3
/
ATOMIC_SPECIES
Te 127.60 Te.upf
Se 78.96 Se.upf
Ca 40.08 Ca.upf
CELL_PARAMETERS angstrom
-3.9670 -0.4574 0.2379
-0.1637 -0.7219 -4.1174
2.9207 -6.2257 3.1006
ATOMIC_POSITIONS crystal
Te 0.7801 0.7801 0.5602
Te 0.2199 0.2199 0.4398
Se 0.0000 0.5000 0.0000
Ca 0.5000 0.0000 0.0000
! **ΔE_f (raw)**: -0.8658 eV per atom
! **DOS(E_F)**: 1.92 states/eV/f.u.

=====

! ZnIr2Os, single point on PBEsol structure, DFT meta-GGA SCAN; values from VASP
&SYSTEM
  ibrav = 0, nat = 4, ntyp = 3
/
ATOMIC_SPECIES
Ir 192.22 Ir.upf
Os 190.23 Os.upf
Zn 65.41 Zn.upf
CELL_PARAMETERS angstrom
-2.3789 -1.3539 -0.1457
2.2484 -3.9481 -0.0226
-0.1987 -0.1391 4.5370
ATOMIC_POSITIONS crystal
Ir 0.0000 0.5000 0.0000
Ir 0.0000 0.0000 0.5000
Os 0.5000 0.5000 0.5000
Zn 0.5000 0.0000 0.0000
! **ΔH_f (0 K)**: 0.221 eV per atom
! **DOS(E_F)**: 2.48 states/eV/f.u.

=====

! TaCr3B, single point on PBEsol structure, DFT meta-GGA SCAN; values from VASP
&SYSTEM
  ibrav = 0, nat = 5, ntyp = 3
/
ATOMIC_SPECIES
Cr 52.00 Cr.upf
Ta 180.95 Ta.upf
B 10.81 B.upf
CELL_PARAMETERS angstrom
-3.1016 0.2337 -2.3671
2.3020 -0.6844 -3.0838
-0.5989 -3.8412 0.4055
ATOMIC_POSITIONS crystal
Cr 0.5000 0.0000 0.0000
Cr 0.0000 0.5000 0.0000
Cr 0.0000 0.0000 0.5000
Ta 0.5000 0.5000 0.5000
B 0.0000 0.0000 0.0000
! **ΔH_f (0 K)**: 0.223 eV per atom
! **DOS(E_F)**: 6.81 states/eV/f.u.

=====

! LaCd2Au, single point on PBEsol structure, DFT meta-GGA SCAN; values from VASP
&SYSTEM
  ibrav = 0, nat = 4, ntyp = 3
/
ATOMIC_SPECIES
Cd 112.41 Cd.upf
Au 196.97 Au.upf
La 138.91 La.upf
CELL_PARAMETERS angstrom
3.7088 0.0000 0.0000
0.0000 5.1309 -0.0398
-1.8544 -2.5303 5.0176
ATOMIC_POSITIONS crystal
Cd 0.7776 0.7776 0.5553
Cd 0.2224 0.2224 0.4447
Au 0.5000 0.0000 0.0000
La 0.0000 0.5000 0.0000
! **ΔH_f (0 K)**: -0.438 eV per atom
! **DOS(E_F)**: 2.39 states/eV/f.u.

=====

Number 1: V 45.7 Å³/f.u.. Number 2: V 88.4 Å³/f.u.. Number 3: V 60.9 Å³/f.u.. Number 4: V 100.6 Å³/f.u.. Number 5: V 121.6 Å³/f.u.. Number 6: V 125.1 Å³/f.u.. Number 7: V 81.5 Å³/f.u.. Number 8: V 112.2 Å³/f.u.. Number 9: V 105.1 Å³/f.u.. Number 10: V 134.4 Å³/f.u.. Number 11: V 89.1 Å³/f.u.. Number 12: V 94.7 Å³/f.u.. Number 13: V 107.5 Å³/f.u.. Number 14: V 269.8 Å³/f.u.. Number 15: V 51.6 Å³/f.u.. Number 16: V 43.1 Å³/f.u.. Number 17: V 116.6 Å³/f.u.. Number 18: V 56.6 Å³/f.u.. Number 19: V 59.7 Å³/f.u.. Number 20: V 95.1 Å³/f.u..